PBE Ta2TiBe2Ir5, relaxed; SG = P4/mbm (127); total moment = 0.0000 μB per atom; E_form = -681 meV per atom
1.0
-3.051 1.439 0.248
-1.716 -4.923 7.463
3.535 6.607 5.171
Be Ti Ir Ta
4 2 10 4
Direct
0.000 0.122 0.622 Be
0.000 0.378 0.122 Be
0.000 0.878 0.378 Be
0.000 0.622 0.878 Be
0.000 0.500 0.500 Ti
0.000 0.000 0.000 Ti
0.500 0.290 0.574 Ir
0.500 0.074 0.790 Ir
0.500 0.426 0.290 Ir
0.500 0.000 0.500 Ir
0.500 0.500 0.000 Ir
0.500 0.574 0.710 Ir
0.500 0.926 0.210 Ir
0.500 0.790 0.926 Ir
0.500 0.210 0.074 Ir
0.500 0.710 0.426 Ir
0.000 0.675 0.175 Ta
0.000 0.325 0.825 Ta
0.000 0.825 0.675 Ta
0.000 0.175 0.325 Ta

PBE CaTcSe2, relaxed; E above lowest polymorph = 388.9 meV/atom; SG = P4mm (99); total moment = 0.0000 μB per atom
1.0
-2.791 0.675 1.444
-1.473 0.021 -2.856
-1.684 -8.688 0.804
Se Tc Ca
2 1 1
Direct
0.000 0.000 0.954 Se
0.500 0.500 0.347 Se
0.000 0.000 0.468 Tc
0.500 0.500 0.731 Ca

PBE BeRe2BF, relaxed; DFT total energy = -0.4801 Ry/atom; SG = P4/mmm (123); total moment = 0.2549 μB per atom
1.0
-4.229 -0.249 0.479
0.085 -3.240 -0.934
0.529 -1.159 4.068
F B Be Re
1 1 1 2
Direct
0.000 0.500 0.000 F
0.000 0.000 0.000 B
0.500 0.500 0.500 Be
0.000 0.000 0.500 Re
0.500 0.000 0.000 Re

PBE CeEr2Si2, relaxed; DFT total energy = -0.4153 Ry/atom; SG = P2_1/m (11); total moment = 0.1552 μB per atom
1.0
-1.039 -3.549 -1.824
-1.564 -2.059 4.896
-9.058 5.461 -5.466
Er Si Ce
4 4 2
Direct
0.750 0.702 0.449 Er
0.750 0.223 0.126 Er
0.250 0.298 0.551 Er
0.250 0.777 0.874 Er
0.750 0.138 0.372 Si
0.750 0.648 0.022 Si
0.250 0.862 0.628 Si
0.250 0.352 0.978 Si
0.250 0.809 0.220 Ce
0.750 0.191 0.780 Ce

PBE ErPu2NpS4, relaxed; DFT total energy = -0.7014 Ry/atom; SG = P2/m (10); total moment = 0.5076 μB per atom
1.0
3.912 0.000 0.000
0.000 6.802 0.112
0.000 -2.379 6.362
S Pu Np Er
4 2 1 1
Direct
0.500 0.748 0.755 S
0.500 0.252 0.245 S
0.000 0.746 0.245 S
0.000 0.254 0.755 S
0.000 0.500 0.500 Pu
0.500 0.000 0.500 Pu
0.000 0.000 0.000 Np
0.500 0.500 0.000 Er

PBE Li4SnHg3, relaxed; E above lowest polymorph = 48.5 meV/atom; SG = Pmm2 (25); total moment = 0.0000 μB per atom; E_form = -317 meV per atom
1.0
3.175 0.000 0.000
0.000 4.632 0.000
0.000 0.000 11.070
Li Hg Sn
4 3 1
Direct
0.500 0.000 0.663 Li
0.500 0.500 0.340 Li
0.000 0.500 0.842 Li
0.000 0.000 0.163 Li
0.000 0.000 0.414 Hg
0.500 0.000 0.909 Hg
0.000 0.500 0.589 Hg
0.500 0.500 0.079 Sn

Record order is preserved below.
DOS at the Fermi energy: 9.37, 4.03, 4.74, 14.89, 24.46, 2.21 states/eV/cell